(1)
DFT (PBE) results for a relaxed Li2PmZn2Au2 crystal.

- E_tot (eV per atom) = -3.031
- SG = C2/m (12)

abc: 4.532 4.536 7.963
angles: 106.76 90.00 119.96
Positions (direct):
Zn1 0.426 0.851 0.275
Pm1 0.000 0.000 0.000
Au1 0.745 0.489 0.233
Zn2 0.574 0.149 0.725
Li1 0.141 0.282 0.421
Li2 0.859 0.718 0.579
Au2 0.255 0.511 0.767

***

(2)
DFT (PBE) results for a relaxed Li3PrAu crystal.

- E_tot (eV per atom) = -2.871
- SG = I-4m2 (119)

abc: 5.479 5.479 9.697
angles: 106.41 106.41 90.00
Positions (direct):
Li1 0.611 0.870 0.741
Li2 0.285 0.285 0.570
Au1 0.250 0.750 0.500
Au2 0.000 0.000 0.000
Li3 0.129 0.870 0.741
Pr1 0.557 0.057 0.114
Li4 0.130 0.871 0.259
Li5 0.130 0.389 0.259
Li6 0.715 0.715 0.430
Pr2 0.943 0.443 0.886

***

no.,DFT formation energy (eV/atom)
1,-0.505
2,-0.112